Sr2Zn4HgPt3: relaxed, PBE.

a b c (Å): 4.379 4.379 10.920
angles (deg): 90.00 90.00 90.00
Fractional coordinates of all 10 atoms:
1 Sr 0.500 0.000 0.242
2 Sr 0.000 0.500 0.758
3 Zn 0.500 0.500 0.000
4 Zn 0.000 0.000 0.000
5 Zn 0.500 0.000 0.641
6 Zn 0.000 0.500 0.359
7 Hg 0.500 0.500 0.500
8 Pt 0.000 0.000 0.500
9 Pt 0.500 0.000 0.872
10 Pt 0.000 0.500 0.128

Values from the calculation:
The symmetry is P-4m2 (115). The total magnetic moment is 0.0 μB per cell. The calculation puts the formation energy at -5.7 eV per formula unit.